# 1
First-principles (GGA-PBE) data for Pm2CrSi3Pt4 after structural relaxation, as listed in Alexandria.

```
10
Lattice="4.2465 0.0000 0.0000 0.0000 4.2465 0.0000 0.0000 0.0000 9.9753" Properties=species:S:1:pos:R:3 pbc="T T T"
Pm 0.0000 2.1233 2.4709
Pm 2.1233 0.0000 7.5044
Cr 2.1233 2.1233 0.0000
Si 0.0000 0.0000 0.0000
Si 0.0000 2.1233 6.2912
Si 2.1233 0.0000 3.6842
Pt 0.0000 0.0000 4.9877
Pt 0.0000 2.1233 8.6787
Pt 2.1233 0.0000 1.2966
Pt 2.1233 2.1233 4.9877
```

Summary:
The calculation puts the energy relative to the elements, uncorrected at -0.94 eV/atom.

=====

# 2
First-principles (GGA-PBE) data for TiNbZn2 after structural relaxation, as listed in Alexandria.

```
4
Lattice="3.3423 0.0000 0.0000 0.0000 3.3423 0.0000 0.0000 0.0000 5.6945" Properties=species:S:1:pos:R:3 pbc="T T T"
Ti 0.0000 0.0000 0.0000
Nb 0.0000 0.0000 2.8472
Zn 1.6711 1.6711 1.3733
Zn 1.6711 1.6711 4.3212
```

Summary:
The calculation puts the formation energy at -0.063 eV per atom.

=====

# 3
First-principles (GGA-PBE) data for Th3Zn4Pd2 after structural relaxation, as listed in Alexandria.

```
9
Lattice="5.3757 -2.2786 0.0000 5.3757 2.2786 0.0000 -3.7237 0.0000 7.8225" Properties=species:S:1:pos:R:3 pbc="T T T"
Th 0.0000 0.0000 0.0000
Th 2.1844 0.0000 2.7207
Th 4.8433 0.0000 5.1018
Zn -1.0830 0.0000 2.8625
Zn -0.6387 0.0000 7.3077
Zn 7.6664 0.0000 0.5148
Zn 8.1107 0.0000 4.9600
Pd 1.5356 0.0000 5.7050
Pd 5.4920 0.0000 2.1176
```

Summary:
The calculation puts the formation energy at -0.514 eV per atom.

=====

# 4
First-principles (GGA-PBE) data for CoMoIr2 after structural relaxation, as listed in Alexandria.

```
12
Lattice="2.7234 0.0000 0.0000 -1.3617 2.3586 0.0000 0.0000 0.0000 26.3422" Properties=species:S:1:pos:R:3 pbc="T T T"
Co 0.0000 0.0000 0.0000
Co 0.0000 1.5724 17.5615
Co 1.3617 0.7862 8.7807
Mo 0.0000 0.0000 6.6058
Mo 0.0000 1.5724 24.1673
Mo 1.3617 0.7862 15.3866
Ir 0.0000 0.0000 13.1636
Ir 0.0000 0.0000 19.6221
Ir 0.0000 1.5724 4.3828
Ir 0.0000 1.5724 10.8414
Ir 1.3617 0.7862 2.0606
Ir 1.3617 0.7862 21.9443
```

Summary:
The calculation puts the formation energy at 0.065 eV per atom.

=====

Raw total energy (eV per atom)
-6.89; -5.19; -4.71; -8.85
Magnetization (μB/atom)
0.166; 0.000; 0.000; 0.348